Entry 1:
Computed, not measured: a relaxed CaY2Al crystal at the PBE level of DFT.

Lattice parameters (Å, degrees): 8.750 8.750 7.000 51.32 51.32 90.00
Atoms (fractional coordinates):
Y (0.172, 0.625, 0.250)
Y (0.875, 0.828, 0.750)
Y (0.578, 0.125, 0.250)
Y (0.375, 0.422, 0.750)
Al (0.250, 0.750, 0.500)
Al (0.500, 0.500, 0.000)
Ca (0.000, 0.000, 0.000)
Ca (0.750, 0.250, 0.500)

Values from the calculation:
Formation energy   0.16 eV per atom

=====

Entry 2:
Computed, not measured: a relaxed CaYAl2 crystal at the PBE level of DFT.

Lattice parameters (Å, degrees): 9.992 9.992 9.992 20.44 20.44 20.44
Atoms (fractional coordinates):
Al (0.999, 0.999, 0.999)
Al (0.501, 0.501, 0.501)
Y (0.250, 0.250, 0.250)
Ca (0.750, 0.750, 0.750)

Values from the calculation:
Formation energy   -0.05 eV per atom

=====

What raw total energy values result from the calculations? In sequence: -4.51; -4.04 eV/atom.